# 1
Here is a crystal of Ba4Sr4CoCu7O24 relaxed with PBEsol from Alexandria. Energies are from SCAN.

Properties
Space-group type: Cm
Crystal system: monoclinic
M_tot: 5.10 μB/cell

abc: 7.759 7.759 7.763
angles: 90.10 90.10 89.98
Atoms (fractional coordinates):
1 O 0.002 0.002 0.743
2 O 0.996 0.996 0.260
3 O 0.499 0.750 0.997
4 O 0.759 0.000 0.502
5 O 0.249 0.000 0.987
6 O 0.249 0.500 0.512
7 O 0.506 0.506 0.250
8 O 0.500 0.249 0.512
9 O 0.500 0.250 0.988
10 O 0.496 0.496 0.750
11 O 0.506 0.994 0.251
12 O 0.498 0.751 0.504
13 O 0.751 0.498 0.504
14 O 0.242 0.000 0.507
15 O 0.751 0.001 0.998
16 O 0.994 0.506 0.251
17 O 0.005 0.495 0.749
18 O 0.750 0.499 0.997
19 O 0.495 0.005 0.749
20 O 0.000 0.242 0.507
21 O 0.250 0.500 0.988
22 O 0.000 0.249 0.987
23 O 0.001 0.751 0.998
24 O 0.000 0.759 0.502
25 Sr 0.252 0.252 0.752
26 Sr 0.748 0.748 0.248
27 Sr 0.747 0.252 0.752
28 Sr 0.252 0.747 0.752
29 Ba 0.749 0.749 0.751
30 Ba 0.252 0.252 0.248
31 Ba 0.749 0.251 0.249
32 Ba 0.251 0.749 0.249
33 Cu 0.500 0.500 0.000
34 Cu 0.000 0.501 0.500
35 Cu 0.000 0.500 0.999
36 Cu 0.501 0.000 0.500
37 Cu 0.500 0.500 0.500
38 Cu 0.000 0.000 0.001
39 Cu 0.500 0.000 0.999
40 Co 0.002 0.002 0.506

***

# 2
Here is a crystal of Ba2TlCoCu relaxed with PBEsol from Alexandria. Energies are from SCAN.

Properties
Space-group type: P4/mmm
Crystal system: tetragonal
M_tot: 0.00 μB/cell
Formation energy: 0.29 eV/atom

abc: 4.940 5.607 5.607
angles: 90.00 90.00 90.00
Atoms (fractional coordinates):
1 Cu 0.500 0.500 0.500
2 Tl 0.500 0.000 0.000
3 Ba 0.000 0.000 0.500
4 Ba 0.000 0.500 0.000
5 Co 0.000 0.000 0.000

***

# 3
Here is a crystal of BaCo3F relaxed with PBEsol from Alexandria. Energies are from SCAN.

Properties
Space-group type: Pm-3m
Crystal system: cubic
M_tot: 4.53 μB/cell

abc: 4.309 4.309 4.309
angles: 90.00 90.00 90.00
Atoms (fractional coordinates):
1 Co 0.500 0.000 0.000
2 Co 0.000 0.500 0.000
3 Co 0.000 0.000 0.500
4 Ba 0.500 0.500 0.500
5 F 0.000 0.000 0.000

***

# 4
Here is a crystal of Ba2CoF6 relaxed with PBEsol from Alexandria. Energies are from SCAN.

Properties
Space-group type: I4/mmm
Crystal system: tetragonal
M_tot: 3.00 μB/cell

abc: 4.079 4.079 8.520
angles: 103.85 103.85 90.00
Atoms (fractional coordinates):
1 F 0.750 0.250 0.500
2 F 0.622 0.622 0.243
3 F 0.500 0.000 0.000
4 F 0.378 0.378 0.757
5 F 0.000 0.500 0.000
6 F 0.250 0.750 0.500
7 Co 0.500 0.500 0.000
8 Ba 0.850 0.850 0.700
9 Ba 0.150 0.150 0.300

***

Calculated values (eV/atom) of E for the records, taken in order: -14.574 -36.506 -18.585 -16.510.